# Tm3In2Ru

An optimized crystal structure of Tm3In2Ru (PBE, the Alexandria database).

DOS(E_F) = 3.7 states/eV/f.u.
Total moment = 0.0 μB per formula unit
DFT formation energy = -0.47 eV per atom
Electronic total energy = -5.1625 eV per atom

a b c (Å): 5.0210 14.9790 7.4492
angles (deg): 90.00 90.00 90.00
Last column: nearest neighbours and their distance in Å.
Space group Cmmm (No. 65)
Inequivalent atoms, fractional coordinates:
Tm: 0.0000 0.0000 0.2330 [4 per cell]  2 Ru 2.98, 6 In 3.05-3.20
Tm: 0.0000 0.3247 0.2209 [8 per cell]  3 Ru 2.94-3.01, 4 In 3.10-3.26, 1 Tm 3.29
In: 0.0000 0.1639 0.5000 [4 per cell]  8 Tm 3.16-3.26, 2 In 3.51
In: 0.0000 0.5000 0.0000 [2 per cell]  8 Tm 3.05-3.10
In: 0.0000 0.5000 0.5000 [2 per cell]  8 Tm 3.20-3.35, 4 In 3.51
Ru: 0.0000 0.1620 0.0000 [4 per cell]  8 Tm 2.94-3.01

# NiPt3W

An optimized crystal structure of NiPt3W (PBE, the Alexandria database).

DOS(E_F) = 4.4 states/eV/f.u.
Total moment = 0.0 μB per formula unit
DFT formation energy = -0.25 eV per atom
Electronic total energy = -7.6237 eV per atom

a b c (Å): 4.7355 4.7481 7.3514
angles (deg): 71.18 83.81 70.68
Last column: nearest neighbours and their distance in Å.
Space group P-1 (No. 2)
Inequivalent atoms, fractional coordinates:
Ni: 0.2493 0.1539 0.1933 [2 per cell]  9 Pt 2.72-2.92, 3 W 2.74-2.75
Pt: 0.2502 0.5534 0.3934 [2 per cell]  3 W 2.72-2.82, 7 Pt 2.72-2.82, 2 Ni 2.75
Pt: 0.2501 0.7493 0.0020 [2 per cell]  4 Pt 2.71-2.74, 4 Ni 2.72-2.73, 4 W 2.75-2.77
Pt: 0.2499 0.9439 0.6124 [2 per cell]  2 W 2.70, 7 Pt 2.71-2.84, 3 Ni 2.72-2.92
W: 0.2497 0.3514 0.7980 [2 per cell]  9 Pt 2.70-2.82, 3 Ni 2.74-2.75

# MgSn2HgB

An optimized crystal structure of MgSn2HgB (PBE, the Alexandria database).

DOS(E_F) = 2.6 states/eV/f.u.
Total moment = 0.0 μB per formula unit
DFT formation energy = 0.94 eV per atom
Electronic total energy = -2.3779 eV per atom

a b c (Å): 5.5186 5.5186 4.3677
angles (deg): 90.00 90.00 90.00
Last column: nearest neighbours and their distance in Å.
Space group P4/mmm (No. 123)
Inequivalent atoms, fractional coordinates:
Mg: 0.0000 0.0000 0.0000 [1 per cell]  2 B 2.18
Sn: 0.0000 0.5000 0.0000 [2 per cell]  2 Mg 2.76
Hg: 0.5000 0.5000 0.5000 [1 per cell]  8 Sn 3.52, 4 B 3.90
B: 0.0000 0.0000 0.5000 [1 per cell]  2 Mg 2.18

Q: DOS(E_F) of number 3 (MgSn2HgB)?
A: 2.6 states/eV/f.u.

Q: Among the records above, which one has the lowest DFT formation energy?
A: Tm3In2Ru

Q: Among the records above, which one has the highest DFT formation energy?
A: MgSn2HgB